# 1
BeBN2F | Alexandria via LeMat-Bulk | SCAN | single point on PBEsol structure; SG = P4/mmm; energy relative to the elements, uncorrected = 1225 meV per atom
1.0
-1.531 1.073 2.504
1.283 -2.679 1.933
2.810 1.975 0.872
F B N Be
1 1 2 1
Direct
0.500 0.000 0.000
0.500 0.500 0.500
0.000 0.500 0.000
0.000 0.000 0.500
0.000 0.000 0.000

---

# 2
Li3ZnRe | Alexandria via LeMat-Bulk | SCAN | single point on PBEsol structure; SG = Pm-3m; calculated formation energy = 1.21 eV/atom
1.0
-2.713 -3.313 0.214
3.313 -2.685 0.441
-0.207 0.445 4.259
Li Re Zn
3 1 1
Direct
0.000 0.000 0.500
0.500 0.000 0.000
0.000 0.500 0.000
0.500 0.500 0.500
0.000 0.000 0.000

---

# 3
FeCo2Se | Alexandria via LeMat-Bulk | SCAN | single point on PBEsol structure; SG = R3m; energy relative to the elements, uncorrected = 398 meV per atom
1.0
2.747 0.000 0.000
1.373 2.379 0.000
1.373 0.793 7.484
Co Se Fe
2 1 1
Direct
0.750 0.750 0.750
0.001 0.001 0.996
0.250 0.250 0.250
0.499 0.499 0.504

---

# 4
La2IrCl | Alexandria via LeMat-Bulk | SCAN | single point on PBEsol structure; SG = I-4m2; energy relative to the elements, uncorrected = -1021 meV per atom
1.0
-2.183 -2.456 -2.299
-1.990 -1.267 3.243
-1.836 6.065 -1.238
La Cl Ir
2 1 1
Direct
0.000 0.000 0.000
0.750 0.250 0.500
0.500 0.500 0.000
0.250 0.750 0.500

---

# 5
CsTi3P5O19 | Alexandria via LeMat-Bulk | SCAN | single point on PBEsol structure; SG = Cc; energy relative to the elements, uncorrected = -2799 meV per atom
1.0
-2.471 -0.129 -8.478
-8.822 -3.113 3.641
1.195 9.953 0.523
O Ti Cs P
38 6 2 10
Direct
0.245 0.164 0.838
0.303 0.622 0.784
0.408 0.407 0.557
0.591 0.591 0.444
0.956 0.422 0.143
0.429 0.342 0.045
0.637 0.159 0.676
0.167 0.731 0.432
0.924 0.290 0.306
0.745 0.838 0.164
0.929 0.045 0.342
0.456 0.143 0.422
0.677 0.968 0.409
0.065 0.957 0.658
0.044 0.583 0.856
0.579 0.690 0.711
0.424 0.306 0.290
0.833 0.270 0.567
0.177 0.409 0.968
0.323 0.032 0.597
0.091 0.444 0.591
0.544 0.856 0.583
0.870 0.330 0.841
0.823 0.597 0.032
0.137 0.676 0.159
0.697 0.378 0.215
0.197 0.215 0.378
0.110 0.189 0.617
0.610 0.617 0.189
0.391 0.380 0.812
0.333 0.567 0.270
0.891 0.812 0.380
0.803 0.784 0.622
0.079 0.711 0.690
0.908 0.557 0.407
0.370 0.841 0.330
0.565 0.658 0.957
0.667 0.432 0.731
0.490 0.529 0.750
0.990 0.750 0.529
0.010 0.249 0.467
0.002 0.506 0.001
0.510 0.467 0.249
0.502 0.001 0.506
0.838 0.068 0.909
0.338 0.909 0.068
0.252 0.703 0.298
0.682 0.666 0.082
0.752 0.298 0.703
0.182 0.082 0.666
0.371 0.267 0.414
0.871 0.414 0.267
0.816 0.919 0.335
0.316 0.335 0.919
0.629 0.730 0.587
0.129 0.587 0.730

---

# 6
ScZn2Ir | Alexandria via LeMat-Bulk | SCAN | single point on PBEsol structure; SG = Cmmm; calculated formation energy = -0.30 eV/atom
1.0
-2.726 -0.789 0.882
-0.566 -2.453 -3.945
1.858 -2.617 3.405
Sc Ir Zn
1 1 2
Direct
0.500 0.500 0.500
0.500 0.000 0.000
0.000 0.000 0.500
0.000 0.500 0.000

---

# 7
LiCo2TeC | Alexandria via LeMat-Bulk | SCAN | single point on PBEsol structure; SG = P4/mmm; energy relative to the elements, uncorrected = 458 meV per atom
1.0
-3.573 -0.393 0.922
0.761 -3.284 1.551
0.852 2.199 4.238
Te Co C Li
1 2 1 1
Direct
0.000 0.000 0.500
0.500 0.000 0.000
0.000 0.500 0.000
0.000 0.000 0.000
0.500 0.500 0.500

---

# 8
PrB2HF10 | Alexandria via LeMat-Bulk | SCAN | single point on PBEsol structure; SG = P2_1/m; total energy = -10.1489 eV per atom
1.0
5.890 0.000 0.000
0.000 7.120 0.019
0.000 -3.335 8.106
F B H Pr
20 4 2 2
Direct
0.250 0.717 0.608
0.055 0.449 0.633
0.445 0.449 0.633
0.945 0.736 0.139
0.000 0.000 0.500
0.555 0.551 0.367
0.250 0.052 0.250
0.750 0.918 0.014
0.055 0.264 0.861
0.250 0.431 0.103
0.750 0.948 0.750
0.750 0.328 0.145
0.500 0.000 0.500
0.250 0.672 0.855
0.945 0.551 0.367
0.750 0.569 0.897
0.250 0.082 0.986
0.750 0.283 0.392
0.555 0.736 0.139
0.445 0.264 0.861
0.750 0.423 0.312
0.250 0.577 0.688
0.750 0.738 0.047
0.250 0.262 0.953
0.250 0.063 0.140
0.750 0.937 0.860
0.250 0.767 0.341
0.750 0.233 0.659

---

# 9
CdRhN3 | Alexandria via LeMat-Bulk | SCAN | single point on PBEsol structure; SG = Pm-3m; energy relative to the elements, uncorrected = 1441 meV per atom
1.0
-1.067 -0.261 3.717
-0.140 -3.861 -0.311
3.724 -0.220 1.054
N Cd Rh
3 1 1
Direct
0.000 0.000 0.500
0.000 0.500 0.000
0.500 0.000 0.000
0.500 0.500 0.500
0.000 0.000 0.000

---

# 10
TcHgCl2 | Alexandria via LeMat-Bulk | SCAN | single point on PBEsol structure; SG = I-4m2; energy relative to the elements, uncorrected = 396 meV per atom
1.0
3.914 0.000 0.000
0.000 3.914 0.000
-1.957 -1.957 5.278
Cl Hg Tc
2 1 1
Direct
0.000 0.000 0.000
0.750 0.250 0.500
0.500 0.500 0.000
0.250 0.750 0.500

---

# 11
CrBi3I | Alexandria via LeMat-Bulk | SCAN | single point on PBEsol structure; SG = Pm-3m; energy relative to the elements, uncorrected = 1372 meV per atom
1.0
5.845 0.000 0.000
0.000 5.845 0.000
0.000 0.000 5.845
I Cr Bi
1 1 3
Direct
0.000 0.000 0.000
0.500 0.500 0.500
0.500 0.000 0.000
0.000 0.500 0.000
0.000 0.000 0.500

---

# 12
La4S3NCl3 | Alexandria via LeMat-Bulk | SCAN | single point on PBEsol structure; SG = P6_3mc; energy relative to the elements, uncorrected = -2542 meV per atom
1.0
6.923 0.000 0.000
0.000 9.315 0.000
0.000 -4.657 8.067
La Cl S N
8 6 6 2
Direct
0.249 0.200 0.800
0.749 0.800 0.200
0.249 0.200 0.401
0.292 0.667 0.333
0.749 0.800 0.599
0.249 0.599 0.800
0.749 0.401 0.200
0.792 0.333 0.667
0.856 0.132 0.868
0.356 0.265 0.132
0.356 0.868 0.132
0.856 0.132 0.265
0.856 0.735 0.868
0.356 0.868 0.735
0.530 0.470 0.530
0.030 0.940 0.470
0.030 0.530 0.470
0.530 0.060 0.530
0.530 0.470 0.940
0.030 0.530 0.060
0.136 0.333 0.667
0.636 0.667 0.333

---

# 13
ZnGaSb2Ru | Alexandria via LeMat-Bulk | SCAN | single point on PBEsol structure; SG = P4/mmm; energy relative to the elements, uncorrected = 320 meV per atom
1.0
4.701 0.000 0.000
0.000 5.070 0.000
0.000 0.000 5.070
Sb Zn Ru Ga
2 1 1 1
Direct
0.000 0.500 0.000
0.000 0.000 0.500
0.500 0.500 0.500
0.000 0.000 0.000
0.500 0.000 0.000

---

# 14
KNa2Hg2 | Alexandria via LeMat-Bulk | SCAN | single point on PBEsol structure; SG = I4/mmm; calculated formation energy = -0.27 eV/atom
1.0
-2.601 3.126 2.514
-1.847 -3.592 2.557
7.387 0.842 2.050
K Hg Na
1 2 2
Direct
0.000 0.000 0.000
0.397 0.397 0.794
0.603 0.603 0.206
0.750 0.250 0.500
0.250 0.750 0.500

---

# 15
ZnFePS2 | Alexandria via LeMat-Bulk | SCAN | single point on PBEsol structure; SG = P4/mmm; energy relative to the elements, uncorrected = 926 meV per atom
1.0
4.453 0.000 0.000
0.000 4.591 0.000
0.000 0.000 4.591
P Zn Fe S
1 1 1 2
Direct
0.500 0.000 0.000
0.000 0.000 0.000
0.500 0.500 0.500
0.000 0.500 0.000
0.000 0.000 0.500

---

# 16
MnNb2BrCl | Alexandria via LeMat-Bulk | SCAN | single point on PBEsol structure; SG = P4/mmm; energy relative to the elements, uncorrected = 870 meV per atom
1.0
-3.077 -0.535 -3.199
2.643 -2.969 -2.046
-2.425 -4.258 3.045
Br Mn Nb Cl
1 1 2 1
Direct
0.000 0.000 0.500
0.500 0.500 0.500
0.000 0.500 0.000
0.500 0.000 0.000
0.000 0.000 0.000

---

# 17
YSbP3 | Alexandria via LeMat-Bulk | SCAN | single point on PBEsol structure; SG = Pm-3m; energy relative to the elements, uncorrected = 772 meV per atom
1.0
-1.603 2.760 3.996
3.453 -2.311 2.981
3.415 3.633 -1.139
Sb Y P
1 1 3
Direct
0.500 0.500 0.500
0.000 0.000 0.000
0.000 0.000 0.500
0.000 0.500 0.000
0.500 0.000 0.000

---

# 18
LiTa2Al | Alexandria via LeMat-Bulk | SCAN | single point on PBEsol structure; SG = Immm; calculated formation energy = 0.12 eV/atom
1.0
-2.563 -1.228 -1.495
1.855 -3.924 0.043
-1.634 1.682 4.869
Al Li Ta
1 1 2
Direct
0.500 0.000 0.000
0.000 0.500 0.000
0.249 0.249 0.499
0.751 0.751 0.501

---

# 19
RbYPd2Pb | Alexandria via LeMat-Bulk | SCAN | single point on PBEsol structure; SG = P4/mmm; calculated formation energy = 0.25 eV/atom
1.0
-3.933 -0.398 -3.343
-2.963 -2.031 3.728
-1.835 5.449 1.510
Pb Pd Rb Y
1 2 1 1
Direct
0.000 0.000 0.500
0.000 0.500 0.000
0.500 0.000 0.000
0.500 0.500 0.500
0.000 0.000 0.000

---

# 20
Lu2Ga9Rh3 | Alexandria via LeMat-Bulk | SCAN | single point on PBEsol structure; SG = Cmcm; calculated formation energy = -0.79 eV/atom
1.0
-0.954 6.774 2.812
-4.917 -5.320 1.493
4.920 -2.433 7.530
Rh Ga Lu
6 18 4
Direct
0.000 0.000 0.000
0.328 0.672 0.000
0.328 0.672 0.500
0.672 0.328 0.500
0.000 0.000 0.500
0.672 0.328 0.000
0.665 0.000 0.081
0.668 0.668 0.932
0.451 0.661 0.250
0.665 0.000 0.419
0.668 0.668 0.568
0.661 0.451 0.250
0.873 0.873 0.250
0.332 0.332 0.068
0.000 0.335 0.919
0.000 0.665 0.081
0.332 0.332 0.432
0.335 0.000 0.581
0.127 0.127 0.750
0.000 0.335 0.581
0.549 0.339 0.750
0.000 0.665 0.419
0.339 0.549 0.750
0.335 0.000 0.919
0.330 0.002 0.250
0.670 0.998 0.750
0.002 0.330 0.250
0.998 0.670 0.750

---

| no. | DOS at the Fermi energy (states/eV per atom) |
| --- | --- |
| 1 | 0.492 |
| 2 | 0.542 |
| 3 | 1.098 |
| 4 | 0.496 |
| 5 | 0.000 |
| 6 | 0.312 |
| 7 | 0.722 |
| 8 | 0.000 |
| 9 | 0.772 |
| 10 | 0.523 |
| 11 | 1.323 |
| 12 | 0.000 |
| 13 | 0.614 |
| 14 | 0.435 |
| 15 | 0.941 |
| 16 | 0.732 |
| 17 | 0.917 |
| 18 | 0.799 |
| 19 | 0.766 |
| 20 | 0.231 |